TaAgSe2, relaxed, DFT GGA-PBE; symmetry = No. 71; magnetization = 0.00 μB per formula unit; formation energy (no corrections) = -0.203 eV per atom
1.0
7.189 0.203 -0.004
4.559 5.563 0.004
-5.385 -3.879 2.771
Se Ag Ta
2 1 1
Direct
0.895 0.895 0.000
0.605 0.605 0.000
0.250 0.750 0.500
0.750 0.250 0.500